Material: Sc2TeRuF
Method: DFT, PBE-GGA
State: optimized geometry

Cell lengths 4.9932, 4.1612, 4.9932 Å; angles 90.00, 90.00, 90.00 degrees
Element x y z (fractional)
Ru (0.0000, 0.0000, 0.0000)
F (0.0000, 0.5000, 0.0000)
Sc (0.5000, 0.0000, 0.0000)
Te (0.5000, 0.5000, 0.5000)
Sc (0.0000, 0.0000, 0.5000)

Symmetry ... P4/mmm (123)
Energy ... -6.19 eV per atom
Volume ... 20.75 Å³/atom
Formation energy without anion corrections ... -802.9 meV/atom
Fermi-level density of states ... 3.683 states/eV per cell

---

Material: LaCuSe2
Method: DFT, PBE-GGA
State: optimized geometry

Cell lengths 4.1887, 4.1887, 5.8979 Å; angles 90.00, 90.00, 90.00 degrees
Element x y z (fractional)
Se (0.5000, 0.5000, 0.3438)
Se (0.0000, 0.0000, 0.8706)
Cu (0.0000, 0.0000, 0.4614)
La (0.5000, 0.5000, 0.8241)

Symmetry ... P4mm (99)
Energy ... -5.06 eV per atom
Volume ... 25.87 Å³/atom
Formation energy without anion corrections ... -1059.5 meV/atom
Fermi-level density of states ... 0.714 states/eV per cell

---

Material: Ba4Ag2Au
Method: DFT, PBE-GGA
State: optimized geometry

Cell lengths 6.4068, 6.4068, 9.2604 Å; angles 110.24, 110.24, 90.00 degrees
Element x y z (fractional)
Ba (0.7944, 0.7944, 0.5887)
Au (0.0000, 0.0000, 0.0000)
Ag (0.4111, 0.4111, 0.8221)
Ba (0.2056, 0.2056, 0.4113)
Ag (0.5889, 0.5889, 0.1779)
Ba (0.0000, 0.5000, 0.0000)
Ba (0.5000, 0.0000, 0.0000)

Symmetry ... I4/mmm (139)
Energy ... -2.63 eV per atom
Volume ... 47.36 Å³/atom
Fermi-level density of states ... 3.937 states/eV per cell

---

Material: Cd3GePt3
Method: DFT, PBE-GGA
State: optimized geometry

Cell lengths 6.0274, 6.0274, 7.2067 Å; angles 89.98, 89.98, 84.16 degrees
Element x y z (fractional)
Ge (0.2258, 0.2258, 0.0020)
Pt (0.0006, 0.0006, 0.7799)
Cd (0.2664, 0.7336, 0.5000)
Pt (0.4990, 0.0011, 0.7741)
Cd (0.7336, 0.2664, 0.5000)
Cd (0.3112, 0.6888, 0.0000)
Pt (0.0011, 0.4990, 0.7741)
Cd (0.6888, 0.3112, 0.0000)
Pt (0.5010, 0.9989, 0.2259)
Pt (0.9994, 0.9994, 0.2201)
Ge (0.7742, 0.7742, 0.9980)
Cd (0.7548, 0.7548, 0.5010)
Cd (0.2452, 0.2452, 0.4990)
Pt (0.9989, 0.5010, 0.2259)

Symmetry ... C2/m (12)
Energy ... -3.91 eV per atom
Volume ... 18.60 Å³/atom
Fermi-level density of states ... 4.369 states/eV per cell

---

Material: Ca3SmGa2
Method: DFT, PBE-GGA
State: optimized geometry

Cell lengths 5.0546, 7.1595, 9.5166 Å; angles 90.00, 90.00, 90.00 degrees
Element x y z (fractional)
Sm (0.5000, 0.0269, 0.4414)
Ca (0.0000, 0.4733, 0.9343)
Ga (0.5000, 0.7220, 0.8510)
Ca (0.0000, 0.9733, 0.0657)
Sm (0.5000, 0.5269, 0.5586)
Ga (0.0000, 0.2749, 0.6317)
Ca (0.0000, 0.8386, 0.6851)
Ca (0.5000, 0.6643, 0.1761)
Ga (0.5000, 0.2220, 0.1490)
Ca (0.5000, 0.1643, 0.8239)
Ga (0.0000, 0.7749, 0.3683)
Ca (0.0000, 0.3386, 0.3149)

Symmetry ... Pmc2_1 (26)
Energy ... -3.15 eV per atom
Volume ... 28.70 Å³/atom
Fermi-level density of states ... 12.151 states/eV per cell

---

Material: ReBPbO6
Method: DFT, PBE-GGA
State: optimized geometry

Cell lengths 5.0337, 5.0344, 5.5534 Å; angles 89.98, 90.00, 60.00 degrees
Element x y z (fractional)
O (0.9753, 0.4414, 0.3035)
O (0.5831, 0.9756, 0.3032)
Pb (0.9999, 0.0003, 0.0726)
B (0.6665, 0.6668, 0.3172)
O (0.4411, 0.5835, 0.3033)
Re (0.3333, 0.3333, 0.5634)
O (0.0402, 0.6524, 0.7126)
O (0.3076, 0.0397, 0.7122)
O (0.6529, 0.3071, 0.7120)

Symmetry ... P3 (143)
Energy ... -7.55 eV per atom
Volume ... 13.54 Å³/atom
Formation energy without anion corrections ... -1705.3 meV/atom
Fermi-level density of states ... 0.000 states/eV per cell

---

Material: In2GaHgI
Method: DFT, PBE-GGA
State: optimized geometry

Cell lengths 5.6488, 5.6488, 5.2483 Å; angles 90.00, 90.00, 90.00 degrees
Element x y z (fractional)
In (0.0000, 0.5000, 0.0000)
In (0.5000, 0.0000, 0.0000)
I (0.5000, 0.5000, 0.5000)
Hg (0.0000, 0.0000, 0.5000)
Ga (0.0000, 0.0000, 0.0000)

Symmetry ... P4/mmm (123)
Energy ... -2.11 eV per atom
Volume ... 33.49 Å³/atom
Formation energy without anion corrections ... -42.5 meV/atom
Fermi-level density of states ... 2.817 states/eV per cell

---

Material: AlRu3
Method: DFT, PBE-GGA
State: optimized geometry

Cell lengths 4.8513, 4.8513, 4.8513 Å; angles 90.00, 90.00, 90.00 degrees
Element x y z (fractional)
Ru (0.0000, 0.7500, 0.5000)
Ru (0.7500, 0.5000, 0.0000)
Ru (0.5000, 0.0000, 0.7500)
Al (0.0000, 0.0000, 0.0000)
Ru (0.0000, 0.2500, 0.5000)
Ru (0.5000, 0.0000, 0.2500)
Al (0.5000, 0.5000, 0.5000)
Ru (0.2500, 0.5000, 0.0000)

Symmetry ... Pm-3n (223)
Energy ... -7.86 eV per atom
Volume ... 14.27 Å³/atom
Fermi-level density of states ... 10.918 states/eV per cell

---

Material: Cr2InBr
Method: DFT, PBE-GGA
State: optimized geometry

Cell lengths 8.4955, 8.4955, 8.4955 Å; angles 23.50, 23.50, 23.50 degrees
Each line ends with the local moment (μB).
Element x y z (fractional)
Br (0.7500, 0.7500, 0.7500)  0.04
Cr (0.0015, 0.0015, 0.0015)  3.86
Cr (0.4985, 0.4985, 0.4985)  3.86
In (0.2500, 0.2500, 0.2500)  -0.08

Symmetry ... R-3m (166)
Energy ... -5.54 eV per atom
Volume ... 21.40 Å³/atom
Formation energy without anion corrections ... 378.2 meV/atom
Fermi-level density of states ... 0.844 states/eV per cell

---

Material: Li6CaAl
Method: DFT, PBE-GGA
State: optimized geometry

Cell lengths 5.4875, 5.4875, 5.4875 Å; angles 90.00, 90.00, 90.00 degrees
Element x y z (fractional)
Al (0.0000, 0.0000, 0.0000)
Li (0.2237, 0.0000, 0.5000)
Li (0.0000, 0.5000, 0.7763)
Li (0.5000, 0.7763, 0.0000)
Li (0.7763, 0.0000, 0.5000)
Li (0.0000, 0.5000, 0.2237)
Li (0.5000, 0.2237, 0.0000)
Ca (0.5000, 0.5000, 0.5000)

Symmetry ... Pm-3 (200)
Energy ... -2.10 eV per atom
Volume ... 20.66 Å³/atom
Fermi-level density of states ... 3.595 states/eV per cell

---

Material: ZrCu4Ru
Method: DFT, PBE-GGA
State: optimized geometry

Cell lengths 4.8778, 4.8778, 4.8778 Å; angles 60.00, 60.00, 60.00 degrees
Element x y z (fractional)
Cu (0.8732, 0.3756, 0.3756)
Zr (0.0000, 0.0000, 0.0000)
Cu (0.3756, 0.3756, 0.8732)
Cu (0.3756, 0.3756, 0.3756)
Cu (0.3756, 0.8732, 0.3756)
Ru (0.7500, 0.7500, 0.7500)

Symmetry ... F-43m (216)
Energy ... -5.81 eV per atom
Volume ... 13.68 Å³/atom
Fermi-level density of states ... 6.574 states/eV per cell

---

Material: LaDy2Tm5
Method: DFT, PBE-GGA
State: optimized geometry

Cell lengths 7.0793, 7.0790, 7.0487 Å; angles 120.14, 120.14, 90.01 degrees
Element x y z (fractional)
Tm (0.7223, 0.7223, 0.4446)
Tm (0.2222, 0.7220, 0.9442)
Dy (0.7221, 0.2221, 0.4443)
Tm (0.2222, 0.2222, 0.9442)
Dy (0.2222, 0.7222, 0.4444)
Tm (0.7220, 0.7220, 0.9442)
Tm (0.7220, 0.2222, 0.9442)
La (0.2220, 0.2220, 0.4439)

Symmetry ... I4/mmm (139)
Energy ... -4.53 eV per atom
Volume ... 31.09 Å³/atom
Fermi-level density of states ... 11.354 states/eV per cell

---

Material: RePbSCl2
Method: DFT, PBE-GGA
State: optimized geometry

Cell lengths 5.0424, 5.0424, 4.4913 Å; angles 90.00, 90.00, 90.00 degrees
Element x y z (fractional)
Re (0.0000, 0.0000, 0.0000)
S (0.0000, 0.0000, 0.5000)
Cl (0.0000, 0.5000, 0.0000)
Pb (0.5000, 0.5000, 0.5000)
Cl (0.5000, 0.0000, 0.0000)

Symmetry ... P4/mmm (123)
Energy ... -4.72 eV per atom
Volume ... 22.84 Å³/atom
Formation energy without anion corrections ... 71.1 meV/atom
Fermi-level density of states ... 4.187 states/eV per cell

---

Material: YTl3F
Method: DFT, PBE-GGA
State: optimized geometry

Cell lengths 5.0808, 5.0808, 5.0808 Å; angles 90.00, 90.00, 90.00 degrees
Element x y z (fractional)
F (0.0000, 0.0000, 0.0000)
Tl (0.5000, 0.0000, 0.0000)
Y (0.5000, 0.5000, 0.5000)
Tl (0.0000, 0.0000, 0.5000)
Tl (0.0000, 0.5000, 0.0000)

Symmetry ... Pm-3m (221)
Energy ... -3.68 eV per atom
Volume ... 26.23 Å³/atom
Formation energy without anion corrections ... -597.7 meV/atom
Fermi-level density of states ... 4.455 states/eV per cell

---

Material: Sm3Tm8Th
Method: DFT, PBE-GGA
State: optimized geometry

Cell lengths 8.3929, 8.4003, 8.3929 Å; angles 95.67, 136.39, 100.20 degrees
Element x y z (fractional)
Tm (0.4964, 0.1668, 0.3295)
Tm (0.1608, 0.3291, 0.8314)
Tm (0.8335, 0.5856, 0.7489)
Sm (0.8384, 0.5000, 0.3384)
Sm (0.5038, 0.7500, 0.2538)
Th (0.8384, 0.0000, 0.8384)
Tm (0.1632, 0.9159, 0.7494)
Tm (0.8335, 0.0841, 0.2473)
Sm (0.5038, 0.2500, 0.7538)
Tm (0.5023, 0.6709, 0.8316)
Tm (0.1633, 0.4144, 0.2479)
Tm (0.1627, 0.8332, 0.3296)

Symmetry ... Imm2 (44)
Energy ... -4.76 eV per atom
Volume ... 31.55 Å³/atom
Fermi-level density of states ... 21.247 states/eV per cell

---

Material: LaPrNd6Dy2
Method: DFT, PBE-GGA
State: optimized geometry

Cell lengths 9.0155, 7.0933, 6.6881 Å; angles 122.03, 100.91, 90.00 degrees
Element x y z (fractional)
Nd (0.4295, 0.6364, 0.2728)
Nd (0.1981, 0.5925, 0.6458)
Dy (0.1591, 0.0894, 0.1788)
Nd (0.5705, 0.3636, 0.7272)
Nd (0.1981, 0.0532, 0.6458)
Nd (0.8019, 0.4075, 0.3542)
Nd (0.8019, 0.9468, 0.3542)
La (0.5000, 0.0000, 0.0000)
Pr (0.0000, 0.5000, 0.0000)
Dy (0.8409, 0.9106, 0.8212)

Symmetry ... C2/m (12)
Energy ... -4.55 eV per atom
Volume ... 35.35 Å³/atom
Fermi-level density of states ... 20.563 states/eV per cell

---

Material: NdY5Se6
Method: DFT, PBE-GGA
State: optimized geometry

Cell lengths 7.1244, 7.1244, 7.1284 Å; angles 99.54, 99.54, 120.26 degrees
Element x y z (fractional)
Y (0.6655, 0.3345, 0.0000)
Se (0.2579, 0.2579, 0.7486)
Y (0.3345, 0.6655, 0.0000)
Y (0.5000, 0.5000, 0.5000)
Y (0.1607, 0.8393, 0.5000)
Se (0.9152, 0.5727, 0.7444)
Se (0.5727, 0.9152, 0.7444)
Y (0.8393, 0.1607, 0.5000)
Se (0.7421, 0.7421, 0.2514)
Nd (0.0000, 0.0000, 0.0000)
Se (0.4273, 0.0848, 0.2556)
Se (0.0848, 0.4273, 0.2556)

Symmetry ... C2/m (12)
Energy ... -6.61 eV per atom
Volume ... 24.56 Å³/atom
Formation energy without anion corrections ... -1779.1 meV/atom
Fermi-level density of states ... 5.578 states/eV per cell

---

Material: Ac2Tb7Nd2
Method: DFT, PBE-GGA
State: optimized geometry

Cell lengths 3.7351, 10.7648, 10.7651 Å; angles 67.89, 99.99, 99.99 degrees
Element x y z (fractional)
Tb (0.6106, 0.6099, 0.6099)
Tb (0.0000, 0.0000, 0.0000)
Ac (0.3068, 0.8064, 0.8064)
Nd (0.5000, 0.7510, 0.2490)
Tb (0.1685, 0.9020, 0.4334)
Tb (0.8315, 0.5666, 0.0980)
Tb (0.1685, 0.4334, 0.9020)
Nd (0.5000, 0.2490, 0.7510)
Ac (0.6932, 0.1936, 0.1936)
Tb (0.8315, 0.0980, 0.5666)
Tb (0.3894, 0.3901, 0.3901)

Symmetry ... Immm (71)
Energy ... -4.43 eV per atom
Volume ... 35.65 Å³/atom
Fermi-level density of states ... 15.979 states/eV per cell

---

Material: SnB2HS
Method: DFT, PBE-GGA
State: optimized geometry

Cell lengths 3.7182, 5.7388, 3.7182 Å; angles 90.00, 90.00, 90.00 degrees
Element x y z (fractional)
B (0.0000, 0.0000, 0.5000)
B (0.5000, 0.0000, 0.0000)
Sn (0.0000, 0.5000, 0.0000)
H (0.5000, 0.5000, 0.5000)
S (0.0000, 0.0000, 0.0000)

Symmetry ... P4/mmm (123)
Energy ... -3.43 eV per atom
Volume ... 15.87 Å³/atom
Fermi-level density of states ... 1.648 states/eV per cell

---

Material: MgS
Method: DFT, PBE-GGA
State: optimized geometry

Cell lengths 3.6961, 3.6961, 3.6961 Å; angles 60.00, 60.00, 60.00 degrees
Element x y z (fractional)
Mg (0.0000, 0.0000, 0.0000)
S (0.5000, 0.5000, 0.5000)

Symmetry ... Fm-3m (225)
Energy ... -4.29 eV per atom
Volume ... 17.85 Å³/atom
Formation energy without anion corrections ... -1433.4 meV/atom
Fermi-level density of states ... 0.000 states/eV per cell